[1]
DFT (PBE-GGA) results for crystalline La2TeMoPt at its relaxed geometry.

a b c (Å): 5.8978 4.8887 5.8978
angles (deg): 90.00 90.00 90.00
Fractional positions:
Mo 0.0000 0.5000 0.0000
Te 0.0000 0.0000 0.0000
Pt 0.5000 0.5000 0.5000
La 0.0000 0.0000 0.5000
La 0.5000 0.0000 0.0000

Values from the calculation:
E_tot = -5.437 eV per atom
DOS(E_F) = 4.470 states/eV per cell
formation energy (no corrections) = 259 kJ/mol of formula units
symmetry = No. 123

[2]
DFT (PBE-GGA) results for crystalline Be2AgRu at its relaxed geometry.

a b c (Å): 2.6289 2.6289 7.9608
angles (deg): 90.00 90.00 112.25
Fractional positions:
Ru 0.0000 0.0000 0.4590
Ag 0.5000 0.5000 0.7734
Be 0.0000 0.0000 0.0256
Be 0.5000 0.5000 0.2421

Values from the calculation:
E_tot = -4.553 eV per atom
DOS(E_F) = 2.988 states/eV per cell
symmetry = No. 35
energy relative to the elements = 0.342 eV per atom

[3]
DFT (PBE-GGA) results for crystalline RbAl2CrC at its relaxed geometry.

a b c (Å): 4.0244 5.6174 4.0244
angles (deg): 90.00 90.00 90.00
Fractional positions:
Cr 0.5000 0.5000 0.5000
C 0.0000 0.0000 0.0000
Al 0.0000 0.0000 0.5000
Al 0.5000 0.0000 0.0000
Rb 0.0000 0.5000 0.0000

Values from the calculation:
E_tot = -3.921 eV per atom
DOS(E_F) = 7.267 states/eV per cell
symmetry = No. 123
energy relative to the elements = 1.539 eV per atom